(1)
# ZrSbTe2Se

Crystalline ZrSbTe2Se at its relaxed geometry (PBE-GGA, Alexandria).

Output
Energy relative to the elements, uncorrected (eV per formula unit): 1.16
Calculated total energy (eV per formula unit): -21.28
ΔE to the lowest computed polymorph (meV/atom): 0
D(E_F) (states/eV/atom): 1.2058
Total moment (μB per formula unit): 0.17
Symmetry: P4/mmm

abc: 5.4624 5.4624 5.7070
angles: 90.00 90.00 90.00
Last column: nearest neighbours and their distance in Å.
Fractional positions:
1 Zr 0.0000 0.0000 0.0000  4 Te 2.73, 2 Sb 2.85
2 Sb 0.0000 0.0000 0.5000  2 Zr 2.85
3 Te 0.0000 0.5000 0.0000  2 Zr 2.73
4 Te 0.5000 0.0000 0.0000  2 Zr 2.73
5 Se 0.5000 0.5000 0.5000  4 Sb 3.86, 8 Te 3.95



(2)
# Nd6HoTl4

Crystalline Nd6HoTl4 at its relaxed geometry (PBE-GGA, Alexandria).

Output
Calculated total energy (eV per formula unit): -44.50
D(E_F) (states/eV/atom): 0.9330
Total moment (μB per formula unit): 1.32
Symmetry: I-42m

abc: 9.6828 9.6828 9.6828
angles: 140.09 140.09 57.71
Last column: nearest neighbours and their distance in Å.
Fractional positions:
1 Nd 0.0000 0.5000 0.5000  4 Tl 3.26, 2 Ho 3.30
2 Nd 0.0844 0.0844 0.5262  5 Tl 3.18-3.43
3 Nd 0.4418 0.9156 0.0000  5 Tl 3.18-3.43
4 Nd 0.5000 0.0000 0.5000  4 Tl 3.26, 2 Ho 3.30
5 Nd 0.5582 0.5582 0.4738  5 Tl 3.18-3.43
6 Nd 0.9156 0.4418 0.0000  5 Tl 3.18-3.43
7 Ho 0.0000 0.0000 0.0000  4 Tl 3.20, 4 Nd 3.30
8 Tl 0.1079 0.6243 0.0000  7 Nd 3.18-3.43, 1 Ho 3.20
9 Tl 0.3757 0.3757 0.4837  7 Nd 3.18-3.43, 1 Ho 3.20
10 Tl 0.6243 0.1079 0.0000  7 Nd 3.18-3.43, 1 Ho 3.20
11 Tl 0.8921 0.8921 0.5163  7 Nd 3.18-3.43, 1 Ho 3.20



(3)
# EuRh2

Crystalline EuRh2 at its relaxed geometry (PBE-GGA, Alexandria).

Output
Calculated total energy (eV per formula unit): -26.34
D(E_F) (states/eV/atom): 2.7874
Total moment (μB per formula unit): 6.22
Symmetry: Fd-3m

abc: 5.4132 5.4132 5.4132
angles: 60.00 60.00 60.00
Last column: nearest neighbours and their distance in Å.
Fractional positions:
1 Eu 0.1250 0.1250 0.1250  12 Rh 3.17, 4 Eu 3.31
2 Eu 0.8750 0.8750 0.8750  12 Rh 3.17, 4 Eu 3.31
3 Rh 0.0000 0.5000 0.5000  6 Rh 2.71
4 Rh 0.5000 0.0000 0.5000  6 Rh 2.71
5 Rh 0.5000 0.5000 0.0000  6 Rh 2.71
6 Rh 0.5000 0.5000 0.5000  6 Rh 2.71



(4)
# In6GaSn4

Crystalline In6GaSn4 at its relaxed geometry (PBE-GGA, Alexandria).

Output
Calculated total energy (eV per formula unit): -34.80
D(E_F) (states/eV/atom): 0.4808
Total moment (μB per formula unit): 0.00
Symmetry: I-42m

abc: 9.1363 9.1363 9.1363
angles: 140.43 140.43 57.20
Last column: nearest neighbours and their distance in Å.
Fractional positions:
1 In 0.0000 0.5000 0.5000  4 Sn 3.07, 2 Ga 3.09
2 In 0.1300 0.1300 0.6171  5 Sn 3.08-3.33, 1 Ga 3.32, 1 In 3.35
3 In 0.4871 0.8700 0.0000  5 Sn 3.08-3.33, 1 Ga 3.32, 1 In 3.35
4 In 0.5000 0.0000 0.5000  4 Sn 3.07, 2 Ga 3.09
5 In 0.5129 0.5129 0.3829  5 Sn 3.08-3.33, 1 Ga 3.32, 1 In 3.35
6 In 0.8700 0.4871 0.0000  5 Sn 3.08-3.33, 1 Ga 3.32, 1 In 3.35
7 Ga 0.5000 0.5000 0.0000  8 In 3.09-3.32, 4 Sn 3.46
8 Sn 0.0538 0.6877 0.0000  7 In 3.07-3.33, 1 Sn 3.20
9 Sn 0.3123 0.3123 0.3661  7 In 3.07-3.33, 1 Sn 3.20
10 Sn 0.6877 0.0538 0.0000  7 In 3.07-3.33, 1 Sn 3.20
11 Sn 0.9462 0.9462 0.6339  7 In 3.07-3.33, 1 Sn 3.20